No. 1
Cd2HgRhPb: relaxed, PBE-GGA.

a b c (Å): 5.290 5.290 5.148
angles (deg): 90.00 90.00 90.00
Element x y z (fractional)
Cd 0.000 0.500 0.000
Cd 0.500 0.000 0.000
Hg 0.000 0.000 0.500
Rh 0.500 0.500 0.000
Pb 0.500 0.500 0.500

## Properties
**Uncorrected energy**: -2.60 eV per atom
**Spin magnetization**: 0.0 μB per cell
**Energy of formation**: 0.039 eV/atom
**SG**: No. 123
**Density of states at the Fermi level**: 2.27 states/eV/f.u.

No. 2
Mg7Ga4Ge: relaxed, PBE-GGA.

a b c (Å): 7.072 7.072 10.142
angles (deg): 126.61 126.61 42.15
Element x y z (fractional)
Mg 0.000 0.000 0.000
Mg 0.161 0.161 0.603
Mg 0.280 0.280 0.135
Mg 0.435 0.435 0.684
Mg 0.565 0.565 0.316
Mg 0.720 0.720 0.865
Mg 0.839 0.839 0.397
Ga 0.066 0.066 0.778
Ga 0.199 0.199 0.353
Ga 0.801 0.801 0.647
Ga 0.934 0.934 0.222
Ge 0.500 0.500 0.000

## Properties
**Uncorrected energy**: -2.32 eV per atom
**Spin magnetization**: 0.0 μB per cell
**Energy of formation**: 0.009 eV/atom
**SG**: No. 12
**Density of states at the Fermi level**: 4.37 states/eV/f.u.

No. 3
LaVN3: relaxed, PBE-GGA.

a b c (Å): 3.623 5.683 6.783
angles (deg): 90.00 92.59 90.00
Element x y z (fractional)
La 0.016 0.250 0.242
La 0.984 0.750 0.758
V 0.481 0.250 0.782
V 0.519 0.750 0.218
N 0.008 0.750 0.115
N 0.476 0.020 0.596
N 0.476 0.480 0.596
N 0.524 0.520 0.404
N 0.524 0.980 0.404
N 0.992 0.250 0.885

## Properties
**Uncorrected energy**: -8.63 eV per atom
**Energy relative to the elements, uncorrected**: -0.823 eV per atom
**Spin magnetization**: 0.0 μB per cell
**SG**: No. 11
**Density of states at the Fermi level**: 1.95 states/eV/f.u.

No. 4
TbPr6Er4: relaxed, PBE-GGA.

a b c (Å): 9.558 9.558 9.558
angles (deg): 138.17 138.17 60.65
Element x y z (fractional)
Tb 0.000 0.000 0.000
Pr 0.000 0.500 0.500
Pr 0.013 0.630 0.000
Pr 0.370 0.370 0.383
Pr 0.500 0.000 0.500
Pr 0.630 0.013 0.000
Pr 0.987 0.987 0.617
Er 0.211 0.211 0.651
Er 0.440 0.789 0.000
Er 0.560 0.560 0.349
Er 0.789 0.440 0.000

## Properties
**Uncorrected energy**: -4.39 eV per atom
**Spin magnetization**: 0.0 μB per cell
**Energy of formation**: 0.299 eV/atom
**SG**: No. 121
**Density of states at the Fermi level**: 15.40 states/eV/f.u.

No. 5
Na3LiSb3Se8: relaxed, PBE-GGA.

a b c (Å): 8.627 8.627 8.627
angles (deg): 54.58 54.58 54.58
Element x y z (fractional)
Na 0.000 0.500 0.500
Na 0.500 0.000 0.500
Na 0.500 0.500 0.000
Li 0.500 0.500 0.500
Sb 0.000 0.000 0.500
Sb 0.000 0.500 0.000
Sb 0.500 0.000 0.000
Se 0.243 0.243 0.243
Se 0.250 0.731 0.731
Se 0.269 0.269 0.750
Se 0.269 0.750 0.269
Se 0.731 0.250 0.731
Se 0.731 0.731 0.250
Se 0.750 0.269 0.269
Se 0.757 0.757 0.757

## Properties
**Uncorrected energy**: -3.59 eV per atom
**Energy relative to the elements, uncorrected**: -0.520 eV per atom
**Spin magnetization**: 0.0 μB per cell
**SG**: No. 166
**Density of states at the Fermi level**: 9.51 states/eV/f.u.

No. 6
Pm3BePt2: relaxed, PBE-GGA.

a b c (Å): 11.492 3.952 12.472
angles (deg): 90.00 90.00 90.00
Element x y z (fractional)
Pm 0.061 0.250 0.120
Pm 0.131 0.750 0.549
Pm 0.204 0.250 0.794
Pm 0.296 0.750 0.294
Pm 0.369 0.250 0.049
Pm 0.439 0.750 0.620
Pm 0.561 0.250 0.380
Pm 0.631 0.750 0.951
Pm 0.704 0.250 0.706
Pm 0.796 0.750 0.206
Pm 0.869 0.250 0.451
Pm 0.939 0.750 0.880
Be 0.117 0.250 0.360
Be 0.383 0.750 0.860
Be 0.617 0.250 0.140
Be 0.883 0.750 0.640
Pt 0.028 0.750 0.317
Pt 0.190 0.750 0.972
Pt 0.310 0.250 0.472
Pt 0.472 0.250 0.817
Pt 0.528 0.750 0.183
Pt 0.690 0.750 0.528
Pt 0.810 0.250 0.028
Pt 0.972 0.250 0.683

## Properties
**Uncorrected energy**: -5.83 eV per atom
**Spin magnetization**: 0.0 μB per cell
**Energy of formation**: -0.817 eV/atom
**SG**: No. 62
**Density of states at the Fermi level**: 4.82 states/eV/f.u.

No. 7
Sc2GaPd: relaxed, PBE-GGA.

a b c (Å): 3.313 3.313 28.507
angles (deg): 90.00 90.00 120.00
Element x y z (fractional)
Sc 0.000 0.000 0.099
Sc 0.000 0.000 0.901
Sc 0.333 0.667 0.567
Sc 0.333 0.667 0.766
Sc 0.667 0.333 0.234
Sc 0.667 0.333 0.433
Ga 0.000 0.000 0.000
Ga 0.333 0.667 0.667
Ga 0.667 0.333 0.333
Pd 0.000 0.000 0.500
Pd 0.333 0.667 0.167
Pd 0.667 0.333 0.833

## Properties
**Uncorrected energy**: -5.37 eV per atom
**Spin magnetization**: 0.0 μB per cell
**Energy of formation**: -0.149 eV/atom
**SG**: No. 166
**Density of states at the Fermi level**: 3.67 states/eV/f.u.

No. 8
RbScGaRe2: relaxed, PBE-GGA.

a b c (Å): 4.816 4.816 5.800
angles (deg): 90.00 90.00 90.00
Element x y z (fractional)
Rb 0.000 0.000 0.000
Sc 0.000 0.000 0.500
Ga 0.500 0.500 0.000
Re 0.000 0.500 0.500
Re 0.500 0.000 0.500

## Properties
**Uncorrected energy**: -4.91 eV per atom
**Spin magnetization**: 2.1 μB per cell
**Energy of formation**: 2.133 eV/atom
**SG**: No. 123
**Density of states at the Fermi level**: 6.46 states/eV/f.u.

No. 9
Sr2TiRh2: relaxed, PBE-GGA.

a b c (Å): 4.427 4.427 12.811
angles (deg): 90.00 90.00 90.00
Element x y z (fractional)
Sr 0.000 0.500 0.250
Sr 0.000 0.500 0.750
Sr 0.500 0.000 0.250
Sr 0.500 0.000 0.750
Ti 0.000 0.000 0.000
Ti 0.500 0.500 0.500
Rh 0.000 0.000 0.404
Rh 0.000 0.000 0.596
Rh 0.500 0.500 0.096
Rh 0.500 0.500 0.904

## Properties
**Uncorrected energy**: -4.54 eV per atom
**Spin magnetization**: 2.7 μB per cell
**Energy of formation**: 0.657 eV/atom
**Relative energy among the computed polymorphs**: 0.813 eV/atom
**SG**: No. 139
**Density of states at the Fermi level**: 7.41 states/eV/f.u.

No. 10
TcPHOs: relaxed, PBE-GGA.

a b c (Å): 7.988 3.000 5.084
angles (deg): 90.00 128.63 90.00
Element x y z (fractional)
Tc 0.000 0.000 0.000
Tc 0.500 0.500 0.000
P 0.256 0.500 0.404
P 0.756 0.000 0.404
H 0.250 0.500 0.930
H 0.750 0.000 0.930
Os 0.016 0.500 0.523
Os 0.516 0.000 0.523

## Properties
**Uncorrected energy**: -7.65 eV per atom
**Spin magnetization**: 0.0 μB per cell
**Relative energy among the computed polymorphs**: 0.000 eV/atom
**SG**: No. 8
**Density of states at the Fermi level**: 1.36 states/eV/f.u.

No. 11
MgTiCo2: relaxed, PBE-GGA.

a b c (Å): 2.981 2.981 6.015
angles (deg): 90.00 90.00 90.00
Element x y z (fractional)
Mg 0.000 0.000 0.000
Ti 0.000 0.000 0.500
Co 0.500 0.500 0.273
Co 0.500 0.500 0.727

## Properties
**Uncorrected energy**: -6.17 eV per atom
**Spin magnetization**: 0.0 μB per cell
**Energy of formation**: -0.243 eV/atom
**SG**: No. 123
**Density of states at the Fermi level**: 2.64 states/eV/f.u.

No. 12
BaLiCa2Mn: relaxed, PBE-GGA.

a b c (Å): 6.240 6.240 4.748
angles (deg): 90.00 90.00 90.00
Element x y z (fractional)
Ba 0.000 0.000 0.000
Li 0.500 0.500 0.500
Ca 0.000 0.500 0.000
Ca 0.500 0.000 0.000
Mn 0.000 0.000 0.500

## Properties
**Uncorrected energy**: -2.10 eV per atom
**Spin magnetization**: 0.4 μB per cell
**Energy of formation**: 1.304 eV/atom
**SG**: No. 123
**Density of states at the Fermi level**: 6.22 states/eV/f.u.